1.
An optimized crystal structure of Re3RuW. Source: Alexandria via LeMat-Bulk, functional GGA-PBE.

a = 4.577 Å, b = 4.577 Å, c = 4.577 Å
α = 90.00°, β = 90.00°, γ = 90.00°
Element x y z (fractional)
Re 0.000 0.000 0.500
Re 0.000 0.500 0.000
Re 0.500 0.000 0.000
Ru 0.000 0.000 0.000
W 0.500 0.500 0.500

As for the space-group type: Pm-3m (221). For the formation enthalpy at 0 K, the calculation gives 2.38 eV per atom. The value obtained for the energy above the lowest structure with this stoichiometry is 2138.5 meV per atom.

2.
An optimized crystal structure of RbReHgBr6. Source: Alexandria via LeMat-Bulk, functional GGA-PBE.

a = 8.228 Å, b = 8.228 Å, c = 11.349 Å
α = 90.00°, β = 90.00°, γ = 120.00°
Element x y z (fractional)
Rb 0.333 0.667 0.250
Rb 0.667 0.333 0.750
Re 0.333 0.667 0.750
Re 0.667 0.333 0.250
Hg 0.000 0.000 0.000
Hg 0.000 0.000 0.500
Br 0.086 0.417 0.621
Br 0.086 0.669 0.879
Br 0.331 0.417 0.879
Br 0.331 0.914 0.621
Br 0.417 0.086 0.121
Br 0.417 0.331 0.379
Br 0.583 0.669 0.621
Br 0.583 0.914 0.879
Br 0.669 0.086 0.379
Br 0.669 0.583 0.121
Br 0.914 0.331 0.121
Br 0.914 0.583 0.379

As for the space-group type: P-31c (163). The formation energy from raw total energies is -0.555 eV per atom.

3.
An optimized crystal structure of Pr8Sm6Sc. Source: Alexandria via LeMat-Bulk, functional GGA-PBE.

a = 8.825 Å, b = 8.825 Å, c = 8.825 Å
α = 63.44°, β = 63.44°, γ = 63.44°
Element x y z (fractional)
Pr 0.078 0.078 0.078
Pr 0.217 0.255 0.613
Pr 0.255 0.613 0.217
Pr 0.387 0.783 0.745
Pr 0.613 0.217 0.255
Pr 0.745 0.387 0.783
Pr 0.783 0.745 0.387
Pr 0.922 0.922 0.922
Sm 0.043 0.741 0.597
Sm 0.259 0.403 0.957
Sm 0.403 0.957 0.259
Sm 0.597 0.043 0.741
Sm 0.741 0.597 0.043
Sm 0.957 0.259 0.403
Sc 0.500 0.500 0.500

As for the space-group type: R-3 (148). For the formation enthalpy at 0 K, the calculation gives 0.11 eV per atom.

4.
An optimized crystal structure of TiCdN2. Source: Alexandria via LeMat-Bulk, functional GGA-PBE.

a = 3.149 Å, b = 3.149 Å, c = 18.578 Å
α = 90.00°, β = 90.00°, γ = 120.00°
Element x y z (fractional)
Ti 0.000 0.000 0.000
Ti 0.333 0.667 0.667
Ti 0.667 0.333 0.333
Cd 0.000 0.000 0.500
Cd 0.333 0.667 0.167
Cd 0.667 0.333 0.833
N 0.000 0.000 0.389
N 0.000 0.000 0.611
N 0.333 0.667 0.056
N 0.333 0.667 0.278
N 0.667 0.333 0.722
N 0.667 0.333 0.944

As for the space-group type: R-3m (166). The formation energy from raw total energies is -0.430 eV per atom.

5.
An optimized crystal structure of ScZn2Cu. Source: Alexandria via LeMat-Bulk, functional GGA-PBE.

a = 3.044 Å, b = 3.044 Å, c = 6.872 Å
α = 90.00°, β = 90.00°, γ = 90.00°
Element x y z (fractional)
Sc 0.000 0.000 0.000
Zn 0.000 0.000 0.534
Zn 0.500 0.500 0.293
Cu 0.500 0.500 0.740

As for the space-group type: P4mm (99). For the formation enthalpy at 0 K, the calculation gives -0.19 eV per atom.

6.
An optimized crystal structure of ReBi3As. Source: Alexandria via LeMat-Bulk, functional GGA-PBE.

a = 5.449 Å, b = 5.449 Å, c = 5.449 Å
α = 90.00°, β = 90.00°, γ = 90.00°
Element x y z (fractional)
Re 0.000 0.000 0.000
Bi 0.000 0.500 0.500
Bi 0.500 0.000 0.500
Bi 0.500 0.500 0.000
As 0.500 0.500 0.500

As for the space-group type: Pm-3m (221). For the formation enthalpy at 0 K, the calculation gives 1.58 eV per atom. The value obtained for the energy above the lowest structure with this stoichiometry is 752.3 meV per atom.